(1)
# Li2Pr2Pd5Pb PBE relaxed
data_Li2Pr2Pd5Pb
_chemical_formula_sum 'Li4 Pr4 Pd10 Pb2'
_symmetry_space_group_name_H-M 'P 4/m b m'
_symmetry_Int_Tables_number 127
_symmetry_space_group_name_Hall '-P 4 2ab'
_cell_length_a 9.818
_cell_length_b 9.818
_cell_length_c 3.861
_cell_angle_alpha 90.00
_cell_angle_beta 90.00
_cell_angle_gamma 90.00
loop_
_atom_site_label
_atom_site_type_symbol
_atom_site_fract_x
_atom_site_fract_y
_atom_site_fract_z
_atom_site_occupancy
Li1 Li 0.117 0.383 0.000 1
Pr1 Pr 0.179 0.679 0.000 1
Pd1 Pd 0.000 0.500 0.500 1
Pd2 Pd 0.068 0.216 0.500 1
Pb1 Pb 0.000 0.000 0.000 1
# ΔH_f (0 K): -590 meV per atom
# density of states at the Fermi level: 0.471 states/eV per atom
# total moment: 0.00 μB/f.u.



(2)
# LiPuPdPb PBE relaxed
data_LiPuPdPb
_chemical_formula_sum 'Li4 Pu4 Pd4 Pb4'
_symmetry_space_group_name_H-M 'F -4 3 m'
_symmetry_Int_Tables_number 216
_symmetry_space_group_name_Hall 'F -4 2 3'
_cell_length_a 6.927
_cell_length_b 6.927
_cell_length_c 6.927
_cell_angle_alpha 90.00
_cell_angle_beta 90.00
_cell_angle_gamma 90.00
loop_
_atom_site_label
_atom_site_type_symbol
_atom_site_fract_x
_atom_site_fract_y
_atom_site_fract_z
_atom_site_occupancy
Li1 Li 0.000 0.000 0.000 1
Pu1 Pu 0.250 0.250 0.750 1
Pd1 Pd 0.000 0.000 0.500 1
Pb1 Pb 0.250 0.250 0.250 1
# ΔH_f (0 K): -313 meV per atom
# density of states at the Fermi level: 2.428 states/eV per atom
# total moment: 5.26 μB/f.u.



(3)
# RbLi2PdPb PBE relaxed
data_RbLi2PdPb
_chemical_formula_sum 'Rb1 Li2 Pd1 Pb1'
_symmetry_space_group_name_H-M 'P 4/m m m'
_symmetry_Int_Tables_number 123
_symmetry_space_group_name_Hall '-P 4 2'
_cell_length_a 5.267
_cell_length_b 5.267
_cell_length_c 5.224
_cell_angle_alpha 90.00
_cell_angle_beta 90.00
_cell_angle_gamma 90.00
loop_
_atom_site_label
_atom_site_type_symbol
_atom_site_fract_x
_atom_site_fract_y
_atom_site_fract_z
_atom_site_occupancy
Rb1 Rb 0.000 0.000 0.000 1
Li1 Li 0.000 0.500 0.500 1
Pd1 Pd 0.500 0.500 0.500 1
Pb1 Pb 0.500 0.500 0.000 1
# ΔH_f (0 K): -158 meV per atom
# density of states at the Fermi level: 0.440 states/eV per atom
# total moment: 0.00 μB/f.u.



(4)
# LiPd2RuPb PBE relaxed
data_LiPd2RuPb
_chemical_formula_sum 'Li1 Pd2 Ru1 Pb1'
_symmetry_space_group_name_H-M 'P 4/m m m'
_symmetry_Int_Tables_number 123
_symmetry_space_group_name_Hall '-P 4 2'
_cell_length_a 4.276
_cell_length_b 4.276
_cell_length_c 4.444
_cell_angle_alpha 90.00
_cell_angle_beta 90.00
_cell_angle_gamma 90.00
loop_
_atom_site_label
_atom_site_type_symbol
_atom_site_fract_x
_atom_site_fract_y
_atom_site_fract_z
_atom_site_occupancy
Li1 Li 0.000 0.000 0.000 1
Pd1 Pd 0.000 0.500 0.000 1
Ru1 Ru 0.000 0.000 0.500 1
Pb1 Pb 0.500 0.500 0.500 1
# ΔH_f (0 K): 404 meV per atom
# density of states at the Fermi level: 0.769 states/eV per atom
# total moment: 0.00 μB/f.u.



(5)
# LiSbPdPb PBE relaxed
data_LiSbPdPb
_chemical_formula_sum 'Li4 Sb4 Pd4 Pb4'
_symmetry_space_group_name_H-M 'F -4 3 m'
_symmetry_Int_Tables_number 216
_symmetry_space_group_name_Hall 'F -4 2 3'
_cell_length_a 6.943
_cell_length_b 6.943
_cell_length_c 6.943
_cell_angle_alpha 90.00
_cell_angle_beta 90.00
_cell_angle_gamma 90.00
loop_
_atom_site_label
_atom_site_type_symbol
_atom_site_fract_x
_atom_site_fract_y
_atom_site_fract_z
_atom_site_occupancy
Li1 Li 0.000 0.000 0.000 1
Sb1 Sb 0.250 0.250 0.750 1
Pd1 Pd 0.000 0.000 0.500 1
Pb1 Pb 0.250 0.250 0.250 1
# raw formation energy: -1.30 eV per formula unit
# density of states at the Fermi level: 0.431 states/eV per atom
# total moment: 0.00 μB/f.u.



(6)
# LiScPdPb PBE relaxed
data_LiScPdPb
_chemical_formula_sum 'Li4 Sc4 Pd4 Pb4'
_symmetry_space_group_name_H-M 'F -4 3 m'
_symmetry_Int_Tables_number 216
_symmetry_space_group_name_Hall 'F -4 2 3'
_cell_length_a 6.632
_cell_length_b 6.632
_cell_length_c 6.632
_cell_angle_alpha 90.00
_cell_angle_beta 90.00
_cell_angle_gamma 90.00
loop_
_atom_site_label
_atom_site_type_symbol
_atom_site_fract_x
_atom_site_fract_y
_atom_site_fract_z
_atom_site_occupancy
Li1 Li 0.000 0.000 0.000 1
Sc1 Sc 0.250 0.250 0.750 1
Pd1 Pd 0.000 0.000 0.500 1
Pb1 Pb 0.250 0.250 0.250 1
# ΔH_f (0 K): -598 meV per atom
# density of states at the Fermi level: 0.047 states/eV per atom
# total moment: 0.00 μB/f.u.



(7)
# LiSmPdPb PBE relaxed
data_LiSmPdPb
_chemical_formula_sum 'Li4 Sm4 Pd4 Pb4'
_symmetry_space_group_name_H-M 'F -4 3 m'
_symmetry_Int_Tables_number 216
_symmetry_space_group_name_Hall 'F -4 2 3'
_cell_length_a 6.912
_cell_length_b 6.912
_cell_length_c 6.912
_cell_angle_alpha 90.00
_cell_angle_beta 90.00
_cell_angle_gamma 90.00
loop_
_atom_site_label
_atom_site_type_symbol
_atom_site_fract_x
_atom_site_fract_y
_atom_site_fract_z
_atom_site_occupancy
Li1 Li 0.000 0.000 0.000 1
Sm1 Sm 0.250 0.250 0.750 1
Pd1 Pd 0.000 0.000 0.500 1
Pb1 Pb 0.250 0.250 0.250 1
# ΔH_f (0 K): -636 meV per atom
# density of states at the Fermi level: 0.068 states/eV per atom
# total moment: 0.00 μB/f.u.



(8)
# LiSmPd4Pb2 PBE relaxed
data_LiSmPd4Pb2
_chemical_formula_sum 'Li3 Sm3 Pd12 Pb6'
_symmetry_space_group_name_H-M 'R -3 m'
_symmetry_Int_Tables_number 166
_symmetry_space_group_name_Hall '-R 3 2"'
_cell_length_a 4.7402
_cell_length_b 4.7402
_cell_length_c 23.8757
_cell_angle_alpha 90.00
_cell_angle_beta 90.00
_cell_angle_gamma 120.00
loop_
_atom_site_label
_atom_site_type_symbol
_atom_site_fract_x
_atom_site_fract_y
_atom_site_fract_z
_atom_site_occupancy
Li1 Li 0.0000 0.0000 0.0000 1
Sm1 Sm 0.0000 0.0000 0.5000 1
Pd1 Pd 0.0000 0.0000 0.1120 1
Pd2 Pd 0.0000 0.0000 0.3740 1
Pb1 Pb 0.0000 0.0000 0.2551 1
# ΔH_f (0 K): -517 meV per atom
# density of states at the Fermi level: 0.612 states/eV per atom
# total moment: 0.00 μB/f.u.



(9)
# Li3Sn2Pd4Pb2 PBE relaxed
data_Li3Sn2Pd4Pb2
_chemical_formula_sum 'Li3 Sn2 Pd4 Pb2'
_symmetry_space_group_name_H-M 'P -3 m 1'
_symmetry_Int_Tables_number 164
_symmetry_space_group_name_Hall '-P 3 2"'
_cell_length_a 4.6919
_cell_length_b 4.6919
_cell_length_c 11.0782
_cell_angle_alpha 90.00
_cell_angle_beta 90.00
_cell_angle_gamma 120.00
loop_
_atom_site_label
_atom_site_type_symbol
_atom_site_fract_x
_atom_site_fract_y
_atom_site_fract_z
_atom_site_occupancy
Li1 Li 0.0000 0.0000 0.0000 1
Li2 Li 0.0000 0.0000 0.2741 1
Sn1 Sn 0.3333 0.6667 0.5881 1
Pd1 Pd 0.3333 0.6667 0.3472 1
Pd2 Pd 0.3333 0.6667 0.8306 1
Pb1 Pb 0.3333 0.6667 0.0979 1
# ΔH_f (0 K): -450 meV per atom
# density of states at the Fermi level: 0.156 states/eV per atom
# total moment: 0.00 μB/f.u.



(10)
# SrLiPdPb2 PBE relaxed
data_SrLiPdPb2
_chemical_formula_sum 'Sr1 Li1 Pd1 Pb2'
_symmetry_space_group_name_H-M 'P 4/m m m'
_symmetry_Int_Tables_number 123
_symmetry_space_group_name_Hall '-P 4 2'
_cell_length_a 5.389
_cell_length_b 5.389
_cell_length_c 4.936
_cell_angle_alpha 90.00
_cell_angle_beta 90.00
_cell_angle_gamma 90.00
loop_
_atom_site_label
_atom_site_type_symbol
_atom_site_fract_x
_atom_site_fract_y
_atom_site_fract_z
_atom_site_occupancy
Sr1 Sr 0.000 0.000 0.000 1
Li1 Li 0.500 0.500 0.000 1
Pd1 Pd 0.500 0.500 0.500 1
Pb1 Pb 0.000 0.500 0.500 1
# ΔH_f (0 K): -299 meV per atom
# density of states at the Fermi level: 0.290 states/eV per atom
# total moment: 0.00 μB/f.u.



(11)
# SrLiPd2Pb2 PBE relaxed
data_SrLiPd2Pb2
_chemical_formula_sum 'Sr1 Li1 Pd2 Pb2'
_symmetry_space_group_name_H-M 'P -3 m 1'
_symmetry_Int_Tables_number 164
_symmetry_space_group_name_Hall '-P 3 2"'
_cell_length_a 4.7993
_cell_length_b 4.7993
_cell_length_c 7.1771
_cell_angle_alpha 90.00
_cell_angle_beta 90.00
_cell_angle_gamma 120.00
loop_
_atom_site_label
_atom_site_type_symbol
_atom_site_fract_x
_atom_site_fract_y
_atom_site_fract_z
_atom_site_occupancy
Sr1 Sr 0.0000 0.0000 0.0000 1
Li1 Li 0.0000 0.0000 0.5000 1
Pd1 Pd 0.3333 0.6667 0.3052 1
Pb1 Pb 0.3333 0.6667 0.6974 1
# ΔH_f (0 K): -490 meV per atom
# density of states at the Fermi level: 0.629 states/eV per atom
# total moment: 0.00 μB/f.u.



(12)
# Sr2LiPd6Pb PBE relaxed
data_Sr2LiPd6Pb
_chemical_formula_sum 'Sr2 Li1 Pd6 Pb1'
_symmetry_space_group_name_H-M 'P -1'
_symmetry_Int_Tables_number 2
_symmetry_space_group_name_Hall '-P 1'
_cell_length_a 6.631
_cell_length_b 6.651
_cell_length_c 6.715
_cell_angle_alpha 62.37
_cell_angle_beta 62.48
_cell_angle_gamma 62.81
loop_
_atom_site_label
_atom_site_type_symbol
_atom_site_fract_x
_atom_site_fract_y
_atom_site_fract_z
_atom_site_occupancy
Sr1 Sr 0.196 0.198 0.198 1
Li1 Li 0.000 0.000 0.000 1
Pd1 Pd 0.156 0.625 0.314 1
Pd2 Pd 0.316 0.152 0.624 1
Pd3 Pd 0.373 0.681 0.846 1
Pb1 Pb 0.500 0.500 0.500 1
# ΔH_f (0 K): -397 meV per atom
# density of states at the Fermi level: 0.512 states/eV per atom
# total moment: 0.00 μB/f.u.